[1]
An optimized crystal structure of NbNiPd, computed with PBE.

## Properties
Calculated formation energy, eV/atom: -0.29

Cell lengths 5.5601, 8.2040, 4.7619 Å; angles 90.00, 125.68, 90.00 degrees
Positions (direct):
Nb 0.7500 0.2421 0.7500
Nb 0.2500 0.7579 0.2500
Nb 0.7500 0.7421 0.2500
Nb 0.2500 0.2579 0.7500
Ni 0.7500 0.9182 0.7500
Ni 0.2500 0.0818 0.2500
Ni 0.7500 0.4182 0.2500
Ni 0.2500 0.5818 0.7500
Pd 0.7500 0.5813 0.7500
Pd 0.2500 0.4187 0.2500
Pd 0.7500 0.0813 0.2500
Pd 0.2500 0.9187 0.7500

[2]
An optimized crystal structure of Mg8Pt2Au, computed with PBE.

## Properties
Calculated formation energy, eV/atom: -0.55

Cell lengths 4.4633, 6.6157, 8.0836 Å; angles 111.08, 106.03, 90.00 degrees
Positions (direct):
Mg 0.3971 0.5488 0.7942
Mg 0.6703 0.9392 0.3406
Mg 0.8056 0.7138 0.6112
Mg 0.9749 0.2334 0.9498
Mg 0.1944 0.2862 0.3888
Mg 0.3297 0.0608 0.6594
Mg 0.6029 0.4512 0.2058
Mg 0.0251 0.7666 0.0502
Pt 0.8184 0.3183 0.6368
Pt 0.1816 0.6817 0.3632
Au 0.5000 0.0000 0.0000

[3]
An optimized crystal structure of TbHfC2, computed with PBE.

## Properties
Calculated formation energy, eV/atom: -0.42

Cell lengths 3.4170, 3.4170, 6.0361 Å; angles 73.56, 73.56, 60.00 degrees
Positions (direct):
Tb 0.5000 0.5000 0.5000
C 0.2590 0.2590 0.2231
C 0.7410 0.7410 0.7769
Hf 0.0000 0.0000 0.0000

[4]
An optimized crystal structure of Ca4As2N, computed with PBE.

## Properties
ΔE_f (raw), eV per atom: -1.046

Cell lengths 4.6665, 4.6665, 8.3065 Å; angles 73.69, 73.69, 90.00 degrees
Positions (direct):
As 0.3622 0.3622 0.2756
As 0.6378 0.6378 0.7244
Ca 0.1661 0.1661 0.6678
Ca 0.8339 0.8339 0.3322
Ca 0.0000 0.5000 0.0000
Ca 0.5000 0.0000 0.0000
N 0.0000 0.0000 0.0000

[5]
An optimized crystal structure of Ac3Pm5Pr3, computed with PBE.

## Properties
Calculated formation energy, eV/atom: 0.64

Cell lengths 6.1069, 9.7800, 9.7800 Å; angles 120.00, 90.00, 90.00 degrees
Positions (direct):
Ac 0.0000 0.5746 0.0000
Ac 0.0000 0.0000 0.5746
Ac 0.0000 0.4254 0.4254
Pm 0.5000 0.6667 0.3333
Pm 0.5000 0.3333 0.6667
Pm 0.5000 0.3663 0.0000
Pm 0.5000 0.6337 0.6337
Pm 0.5000 0.0000 0.3663
Pr 0.5000 0.7349 0.0000
Pr 0.5000 0.2651 0.2651
Pr 0.5000 0.0000 0.7349

[6]
An optimized crystal structure of CeGdAu, computed with PBE.

## Properties
Calculated formation energy, eV/atom: -0.29

Cell lengths 3.6829, 4.9336, 4.9336 Å; angles 120.00, 90.00, 90.00 degrees
Positions (direct):
Gd 0.6346 0.6667 0.3333
Au 0.3435 0.3333 0.6667
Ce 0.0218 0.0000 0.0000

[7]
An optimized crystal structure of Ca3BRh, computed with PBE.

## Properties
Calculated formation energy, eV/atom: 0.40

Cell lengths 5.0395, 5.0395, 5.0395 Å; angles 90.00, 90.00, 90.00 degrees
Positions (direct):
Ca 0.0000 0.5000 0.0000
Ca 0.0000 0.0000 0.5000
Ca 0.5000 0.0000 0.0000
B 0.0000 0.0000 0.0000
Rh 0.5000 0.5000 0.5000

[8]
An optimized crystal structure of CsKNi2Cl8, computed with PBE.

## Properties
ΔE_f (raw), eV per atom: -0.970

Cell lengths 6.7893, 6.7893, 10.6776 Å; angles 71.46, 71.46, 60.00 degrees
Positions (direct):
Cs 0.5000 0.5000 0.5000
K 0.0000 0.0000 0.0000
Ni 0.2460 0.2460 0.2621
Ni 0.7540 0.7540 0.7379
Cl 0.1733 0.1733 0.4802
Cl 0.5438 0.3199 0.1912
Cl 0.8267 0.8267 0.5198
Cl 0.9451 0.5438 0.1912
Cl 0.0549 0.4562 0.8088
Cl 0.3199 0.9451 0.1912
Cl 0.6801 0.0549 0.8088
Cl 0.4562 0.6801 0.8088

[9]
An optimized crystal structure of ErTe3Au2, computed with PBE.

## Properties
ΔE_f (raw), eV per atom: -0.576

Cell lengths 4.2081, 7.6959, 12.0114 Å; angles 108.03, 90.00, 90.00 degrees
Positions (direct):
Er 0.2500 0.7738 0.2970
Er 0.7500 0.2262 0.7030
Te 0.7500 0.9565 0.1855
Te 0.2500 0.0435 0.8145
Te 0.7500 0.6201 0.8532
Te 0.2500 0.3799 0.1468
Te 0.2500 0.3088 0.5287
Te 0.7500 0.6912 0.4713
Au 0.2500 0.4282 0.9083
Au 0.7500 0.5718 0.0917
Au 0.7500 0.0694 0.4279
Au 0.2500 0.9306 0.5721

[10]
An optimized crystal structure of Nd2Ti4O11, computed with PBE.

## Properties
ΔE_f (raw), eV per atom: -3.207

Cell lengths 7.3353, 7.3353, 12.8288 Å; angles 72.26, 72.26, 40.90 degrees
Positions (direct):
Nd 0.2054 0.1920 0.9061
Nd 0.1920 0.2054 0.4061
Nd 0.7946 0.8080 0.0939
Nd 0.8080 0.7946 0.5939
Ti 0.9478 0.8318 0.8096
Ti 0.5817 0.4780 0.5973
Ti 0.1682 0.0522 0.6904
Ti 0.0522 0.1682 0.1904
Ti 0.4780 0.5817 0.0973
Ti 0.4183 0.5220 0.4027
Ti 0.8318 0.9478 0.3096
Ti 0.5220 0.4183 0.9027
O 0.9486 0.6141 0.7768
O 0.3877 0.9285 0.0965
O 0.5847 0.2808 0.0557
O 0.6141 0.9486 0.2768
O 0.8083 0.0995 0.6686
O 0.4171 0.8605 0.5605
O 0.4153 0.7192 0.9443
O 0.9285 0.3877 0.5965
O 0.1917 0.9005 0.3314
O 0.3432 0.6568 0.7500
O 0.5829 0.1395 0.4395
O 0.1395 0.5829 0.9395
O 0.6123 0.0715 0.9035
O 0.3859 0.0514 0.7232
O 0.0995 0.8083 0.1686
O 0.0715 0.6123 0.4035
O 0.7192 0.4153 0.4443
O 0.8605 0.4171 0.0605
O 0.2808 0.5847 0.5557
O 0.6568 0.3432 0.2500
O 0.9005 0.1917 0.8314
O 0.0514 0.3859 0.2232

[11]
An optimized crystal structure of Ac2TlAg2O6, computed with PBE.

## Properties
ΔE_f (raw), eV per atom: -1.345

Cell lengths 6.3896, 6.3896, 6.7029 Å; angles 61.53, 61.53, 60.00 degrees
Positions (direct):
Ac 0.7939 0.7939 0.6182
Ac 0.2061 0.2061 0.3818
Tl 0.0000 0.0000 0.0000
Ag 0.4134 0.4134 0.7598
Ag 0.5866 0.5866 0.2402
O 0.7595 0.7595 0.2930
O 0.1880 0.7595 0.2930
O 0.7595 0.1880 0.2930
O 0.2405 0.8120 0.7070
O 0.8120 0.2405 0.7070
O 0.2405 0.2405 0.7070

[12]
An optimized crystal structure of La3TlRu, computed with PBE.

## Properties
Calculated formation energy, eV/atom: 0.11

Cell lengths 6.3607, 6.3607, 9.8386 Å; angles 71.14, 71.14, 90.00 degrees
Positions (direct):
Ru 0.0000 0.0000 0.0000
Ru 0.2500 0.7500 0.5000
Tl 0.6342 0.1342 0.7316
Tl 0.8658 0.3658 0.2684
La 0.6334 0.8884 0.2233
La 0.1116 0.3666 0.7767
La 0.1116 0.8567 0.7767
La 0.1433 0.8884 0.2233
La 0.2821 0.2821 0.4359
La 0.7180 0.7180 0.5641

[13]
An optimized crystal structure of Sr2PrPdO5, computed with PBE.

## Properties
ΔE_f (raw), eV per atom: -1.899

Cell lengths 6.6035, 6.6035, 7.7611 Å; angles 115.18, 115.18, 90.00 degrees
Positions (direct):
Sr 0.1649 0.3351 0.0000
Sr 0.6649 0.1649 0.0000
Sr 0.3351 0.8351 0.0000
Sr 0.8351 0.6649 0.0000
Pr 0.2500 0.2500 0.5000
Pr 0.7500 0.7500 0.5000
Pd 0.2500 0.7500 0.5000
Pd 0.7500 0.2500 0.5000
O 0.9805 0.4805 0.2826
O 0.6980 0.1980 0.7174
O 0.0195 0.5195 0.7174
O 0.1980 0.0195 0.7174
O 0.5195 0.6980 0.7174
O 0.8020 0.9805 0.2826
O 0.4805 0.3020 0.2826
O 0.3020 0.8020 0.2826
O 0.5000 0.5000 0.0000
O 0.0000 0.0000 0.0000

[14]
An optimized crystal structure of MnRe3, computed with PBE.

## Properties
Calculated formation energy, eV/atom: 0.17

Cell lengths 5.1007, 2.6686, 5.1007 Å; angles 100.04, 117.02, 100.04 degrees
Positions (direct):
Mn 0.0000 0.0000 0.0000
Re 0.0000 0.5000 0.5000
Re 0.5000 0.5000 0.0000
Re 0.5000 0.0000 0.5000

[15]
An optimized crystal structure of Co2TePb, computed with PBE.

## Properties
ΔE_f (raw), eV per atom: 0.451

Cell lengths 3.2476, 3.2472, 6.8527 Å; angles 90.00, 90.00, 90.00 degrees
Positions (direct):
Co 0.0000 0.0000 0.9473
Co 0.0000 0.0000 0.5527
Pb 0.5000 0.5000 0.2500
Te 0.5000 0.5000 0.7500

[16]
An optimized crystal structure of Dy2ZrCd, computed with PBE.

## Properties
Calculated formation energy, eV/atom: -0.01

Cell lengths 4.6347, 4.7294, 4.7294 Å; angles 90.00, 90.00, 90.00 degrees
Positions (direct):
Cd 0.5000 0.0000 0.0000
Zr 0.5000 0.5000 0.5000
Dy 0.0000 0.0000 0.5000
Dy 0.0000 0.5000 0.0000

[17]
An optimized crystal structure of ReP2I, computed with PBE.

## Properties
ΔE_f (raw), eV per atom: 1.210

Cell lengths 4.5555, 4.5555, 4.5555 Å; angles 60.00, 60.00, 60.00 degrees
Positions (direct):
I 0.0000 0.0000 0.0000
Re 0.5000 0.5000 0.5000
P 0.2500 0.2500 0.2500
P 0.7500 0.7500 0.7500

[18]
An optimized crystal structure of Be2CoAs, computed with PBE.

## Properties
Calculated formation energy, eV/atom: 0.03

Cell lengths 3.7284, 2.6932, 4.7429 Å; angles 106.49, 90.00, 90.00 degrees
Positions (direct):
Be 0.0000 0.9605 0.0414
Be 0.5000 0.0810 0.2907
As 0.5000 0.8076 0.7422
Co 0.0000 0.6509 0.4257

[19]
An optimized crystal structure of La2MnTe, computed with PBE.

## Properties
ΔE_f (raw), eV per atom: -0.025

Cell lengths 5.3475, 5.3475, 5.3475 Å; angles 60.00, 60.00, 60.00 degrees
Positions (direct):
La 0.0000 0.0000 0.0000
La 0.2500 0.2500 0.2500
Mn 0.5000 0.5000 0.5000
Te 0.7500 0.7500 0.7500

[20]
An optimized crystal structure of Pr4NdSm, computed with PBE.

## Properties
Calculated formation energy, eV/atom: 0.05

Cell lengths 5.8539, 6.8601, 12.4238 Å; angles 72.22, 90.00, 115.26 degrees
Positions (direct):
Pr 0.9589 0.4163 0.2085
Pr 0.5426 0.5837 0.2915
Pr 0.0411 0.5837 0.7915
Pr 0.4574 0.4163 0.7085
Pr 0.2920 0.0839 0.5423
Pr 0.2080 0.9161 0.9577
Pr 0.7080 0.9161 0.4577
Pr 0.7920 0.0839 0.0423
Nd 0.5000 0.5000 0.0000
Nd 0.0000 0.5000 0.5000
Sm 0.2506 0.0000 0.2500
Sm 0.7494 0.0000 0.7500

[21]
An optimized crystal structure of Dy4AsP3, computed with PBE.

## Properties
Calculated formation energy, eV/atom: -1.59

Cell lengths 4.0350, 6.9888, 6.9888 Å; angles 70.55, 90.00, 90.00 degrees
Positions (direct):
P 0.5000 0.0001 0.5000
P 0.0000 0.0001 0.0000
P 0.0000 0.5001 0.5000
As 0.5000 0.5001 0.0000
Dy 0.0000 0.7548 0.7453
Dy 0.4999 0.7524 0.2523
Dy 0.0000 0.2455 0.2546
Dy 0.5000 0.2478 0.7477

[22]
An optimized crystal structure of In2PSe, computed with PBE.

## Properties
ΔE_f (raw), eV per atom: -0.010

Cell lengths 7.6622, 7.6622, 7.6622 Å; angles 31.31, 31.31, 31.31 degrees
Positions (direct):
In 0.9890 0.9890 0.9890
In 0.7731 0.7731 0.7731
P 0.4768 0.4768 0.4768
Se 0.2610 0.2610 0.2610

[23]
An optimized crystal structure of CoP3Ru, computed with PBE.

## Properties
Calculated formation energy, eV/atom: 0.72

Cell lengths 4.2487, 4.2487, 4.2487 Å; angles 90.00, 90.00, 90.00 degrees
Positions (direct):
Ru 0.5000 0.5000 0.5000
Co 0.0000 0.0000 0.0000
P 0.0000 0.5000 0.0000
P 0.0000 0.0000 0.5000
P 0.5000 0.0000 0.0000

[24]
An optimized crystal structure of Mo2IrAu, computed with PBE.

## Properties
Calculated formation energy, eV/atom: 0.10

Cell lengths 4.9948, 4.9948, 4.9948 Å; angles 134.31, 134.31, 66.60 degrees
Positions (direct):
Au 0.2500 0.7500 0.5000
Ir 0.7500 0.2500 0.5000
Mo 0.0000 0.0000 0.0000
Mo 0.5000 0.5000 0.0000